Computed, not measured: a relaxed Be2CrBr crystal at the GGA-PBE level of DFT.

## Properties
Raw formation energy = 0.544 eV/atom
VASP energy = -16.57 eV per formula unit
Total magnetic moment = 0.52 μB per atom

a b c (Å): 3.1064 3.1063 5.7314
angles (deg): 90.00 90.00 90.00
Element x y z (fractional)
1 Cr 0.5000 0.5000 0.7500
2 Br 0.5000 0.5000 0.2500
3 Be 0.0000 0.0000 0.9292
4 Be 0.0000 0.0000 0.5708

=====

Computed, not measured: a relaxed Be2CrBr crystal at the GGA-PBE level of DFT.

## Properties
Raw formation energy = 0.743 eV/atom
VASP energy = -15.78 eV per formula unit
Total magnetic moment = 0.74 μB per atom

a b c (Å): 4.3694 4.3694 3.0605
angles (deg): 90.00 90.00 110.28
Element x y z (fractional)
1 Cr 0.0000 0.5000 0.5000
2 Br 0.5000 0.0000 0.5000
3 Be 0.0000 0.0000 0.0000
4 Be 0.5000 0.5000 0.0000